Record 1
# Pm6Tl3Ge | the Alexandria database | PBE | relaxed
data_Pm6Tl3Ge
_chemical_formula_sum 'Pm12 Tl6 Ge2'
_symmetry_space_group_name_H-M 'P 1 21/m 1'
_symmetry_Int_Tables_number 11
_symmetry_space_group_name_Hall '-P 2yb'
_cell_length_a 11.7289
_cell_length_b 3.9575
_cell_length_c 14.0078
_cell_angle_alpha 90.00
_cell_angle_beta 106.57
_cell_angle_gamma 90.00
loop_
_atom_site_label
_atom_site_fract_x
_atom_site_fract_y
_atom_site_fract_z
_atom_site_occupancy
Pm1 0.0006 0.2500 0.3340 1
Pm2 0.1033 0.2500 0.9100 1
Pm3 0.2548 0.7500 0.3300 1
Pm4 0.3346 0.7500 0.7665 1
Pm5 0.3711 0.7500 0.1462 1
Pm6 0.3922 0.2500 0.5484 1
Tl1 0.1229 0.2500 0.1419 1
Tl2 0.1589 0.7500 0.5212 1
Tl3 0.3915 0.2500 0.9624 1
Ge1 0.4537 0.2500 0.3207 1
# - crystal system = monoclinic
# - energy relative to the elements (eV per atom) = -0.31
# - magnetic moment (μB per formula unit) = 0.53
# - DOS(E_F) (states/eV/f.u.) = 10.61
# - uncorrected energy (eV/atom) = -4.3344


Record 2
# SrMgW2 | the Alexandria database | PBE | relaxed
data_SrMgW2
_chemical_formula_sum 'Sr1 Mg1 W2'
_symmetry_space_group_name_H-M 'P m m m'
_symmetry_Int_Tables_number 47
_symmetry_space_group_name_Hall '-P 2 2'
_cell_length_a 3.2150
_cell_length_b 4.7613
_cell_length_c 5.3028
_cell_angle_alpha 90.00
_cell_angle_beta 90.00
_cell_angle_gamma 90.00
loop_
_atom_site_label
_atom_site_fract_x
_atom_site_fract_y
_atom_site_fract_z
_atom_site_occupancy
Sr1 0.0000 0.0000 0.0000 1
Mg1 0.5000 0.5000 0.0000 1
W1 0.0000 0.5000 0.5000 1
W2 0.5000 0.0000 0.5000 1
# - crystal system = orthorhombic
# - energy relative to the elements (eV per atom) = 1.08
# - magnetic moment (μB per formula unit) = 0.00
# - DOS(E_F) (states/eV/f.u.) = 3.12
# - uncorrected energy (eV/atom) = -6.2108


Record 3
# Mo2AsOs | the Alexandria database | PBE | relaxed
data_Mo2AsOs
_chemical_formula_sum 'Mo6 As3 Os3'
_symmetry_space_group_name_H-M 'R -3 m'
_symmetry_Int_Tables_number 166
_symmetry_space_group_name_Hall '-R 3 2"'
_cell_length_a 2.8423
_cell_length_b 2.8423
_cell_length_c 26.3856
_cell_angle_alpha 90.00
_cell_angle_beta 90.00
_cell_angle_gamma 120.00
loop_
_atom_site_label
_atom_site_fract_x
_atom_site_fract_y
_atom_site_fract_z
_atom_site_occupancy
Mo1 0.0000 0.0000 0.2504 1
As1 0.0000 0.0000 0.0000 1
Os1 0.0000 0.0000 0.5000 1
# - crystal system = trigonal
# - energy relative to the elements (eV per atom) = 0.19
# - magnetic moment (μB per formula unit) = 0.00
# - DOS(E_F) (states/eV/f.u.) = 5.80
# - uncorrected energy (eV/atom) = -9.1975


Record 4
# TaCuN2F | the Alexandria database | PBE | relaxed
data_TaCuN2F
_chemical_formula_sum 'Ta1 Cu1 N2 F1'
_symmetry_space_group_name_H-M 'P 4/m m m'
_symmetry_Int_Tables_number 123
_symmetry_space_group_name_Hall '-P 4 2'
_cell_length_a 3.8229
_cell_length_b 3.8229
_cell_length_c 3.5555
_cell_angle_alpha 90.00
_cell_angle_beta 90.00
_cell_angle_gamma 90.00
loop_
_atom_site_label
_atom_site_fract_x
_atom_site_fract_y
_atom_site_fract_z
_atom_site_occupancy
Ta1 0.0000 0.0000 0.0000 1
Cu1 0.5000 0.5000 0.5000 1
N1 0.0000 0.5000 0.5000 1
F1 0.5000 0.5000 0.0000 1
# - crystal system = tetragonal
# - polymorph energy (0 for the lowest one) (kJ/mol of formula units) = 442
# - magnetic moment (μB per formula unit) = 0.11
# - DOS(E_F) (states/eV/f.u.) = 2.32
# - uncorrected energy (eV/atom) = -6.3164


Record 5
# Sm2Th2CoPd2 | the Alexandria database | PBE | relaxed
data_Sm2Th2CoPd2
_chemical_formula_sum 'Sm2 Th2 Co1 Pd2'
_symmetry_space_group_name_H-M 'P -1'
_symmetry_Int_Tables_number 2
_symmetry_space_group_name_Hall '-P 1'
_cell_length_a 4.1379
_cell_length_b 7.0519
_cell_length_c 7.2746
_cell_angle_alpha 115.97
_cell_angle_beta 106.45
_cell_angle_gamma 90.01
loop_
_atom_site_label
_atom_site_fract_x
_atom_site_fract_y
_atom_site_fract_z
_atom_site_occupancy
Sm1 0.0176 0.2562 0.0358 1
Th1 0.2899 0.2696 0.5805 1
Co1 0.5000 0.5000 0.0000 1
Pd1 0.3717 0.9264 0.7425 1
# - crystal system = triclinic
# - energy relative to the elements (eV per atom) = -0.41
# - magnetic moment (μB per formula unit) = 0.00
# - DOS(E_F) (states/eV/f.u.) = 6.63
# - uncorrected energy (eV/atom) = -6.3724


Record 6
# ZrBiHI | the Alexandria database | PBE | relaxed
data_ZrBiHI
_chemical_formula_sum 'Zr2 Bi2 H2 I2'
_symmetry_space_group_name_H-M 'C 1 m 1'
_symmetry_Int_Tables_number 8
_symmetry_space_group_name_Hall 'C -2y'
_cell_length_a 6.3264
_cell_length_b 3.6533
_cell_length_c 8.6548
_cell_angle_alpha 90.00
_cell_angle_beta 104.19
_cell_angle_gamma 90.00
loop_
_atom_site_label
_atom_site_fract_x
_atom_site_fract_y
_atom_site_fract_z
_atom_site_occupancy
Zr1 0.0000 0.0000 0.0000 1
Bi1 0.2386 0.0000 0.7171 1
H1 0.1640 0.5000 0.9923 1
I1 0.4181 0.0000 0.2525 1
# - crystal system = monoclinic
# - magnetic moment (μB per formula unit) = 0.00
# - DOS(E_F) (states/eV/f.u.) = 1.92
# - uncorrected energy (eV/atom) = -4.8207


Record 7
# YEr2Th3 | the Alexandria database | PBE | relaxed
data_YEr2Th3
_chemical_formula_sum 'Y4 Er8 Th12'
_symmetry_space_group_name_H-M 'C 1 2/m 1'
_symmetry_Int_Tables_number 12
_symmetry_space_group_name_Hall '-C 2y'
_cell_length_a 15.4556
_cell_length_b 6.0113
_cell_length_c 9.3214
_cell_angle_alpha 90.00
_cell_angle_beta 116.95
_cell_angle_gamma 90.00
loop_
_atom_site_label
_atom_site_fract_x
_atom_site_fract_y
_atom_site_fract_z
_atom_site_occupancy
Y1 0.1278 0.0000 0.1245 1
Er1 0.0382 0.5000 0.2099 1
Er2 0.2074 0.0000 0.5466 1
Th1 0.0453 0.0000 0.7027 1
Th2 0.1200 0.5000 0.6266 1
Th3 0.2125 0.5000 0.0363 1
# - crystal system = monoclinic
# - polymorph energy (0 for the lowest one) (kJ/mol of formula units) = 66
# - energy relative to the elements (eV per atom) = 0.13
# - magnetic moment (μB per formula unit) = 0.00
# - DOS(E_F) (states/eV/f.u.) = 9.27
# - uncorrected energy (eV/atom) = -6.1809


Record 8
# MgCuBr | the Alexandria database | PBE | relaxed
data_MgCuBr
_chemical_formula_sum 'Mg4 Cu4 Br4'
_symmetry_space_group_name_H-M 'F -4 3 m'
_symmetry_Int_Tables_number 216
_symmetry_space_group_name_Hall 'F -4 2 3'
_cell_length_a 6.5734
_cell_length_b 6.5734
_cell_length_c 6.5734
_cell_angle_alpha 90.00
_cell_angle_beta 90.00
_cell_angle_gamma 90.00
loop_
_atom_site_label
_atom_site_fract_x
_atom_site_fract_y
_atom_site_fract_z
_atom_site_occupancy
Mg1 0.0000 0.0000 0.0000 1
Cu1 0.2500 0.2500 0.7500 1
Br1 0.2500 0.2500 0.2500 1
# - crystal system = cubic
# - polymorph energy (0 for the lowest one) (kJ/mol of formula units) = 99
# - magnetic moment (μB per formula unit) = 0.00
# - DOS(E_F) (states/eV/f.u.) = 0.89
# - uncorrected energy (eV/atom) = -2.3895


Record 9
# BaHoPd | the Alexandria database | PBE | relaxed
data_BaHoPd
_chemical_formula_sum 'Ba8 Ho8 Pd8'
_symmetry_space_group_name_H-M 'C 1 2/m 1'
_symmetry_Int_Tables_number 12
_symmetry_space_group_name_Hall '-C 2y'
_cell_length_a 22.8401
_cell_length_b 5.1871
_cell_length_c 7.7813
_cell_angle_alpha 90.00
_cell_angle_beta 94.07
_cell_angle_gamma 90.00
loop_
_atom_site_label
_atom_site_fract_x
_atom_site_fract_y
_atom_site_fract_z
_atom_site_occupancy
Ba1 0.0832 0.0000 0.2970 1
Ba2 0.0904 0.5000 0.8222 1
Ho1 0.2151 0.0000 0.6105 1
Ho2 0.2382 0.0000 0.1341 1
Pd1 0.1748 0.5000 0.5182 1
Pd2 0.1863 0.5000 0.1521 1
# - crystal system = monoclinic
# - energy relative to the elements (eV per atom) = -0.46
# - magnetic moment (μB per formula unit) = 0.02
# - DOS(E_F) (states/eV/f.u.) = 2.55
# - uncorrected energy (eV/atom) = -4.3584


Record 10
# KSnHg2Au | the Alexandria database | PBE | relaxed
data_KSnHg2Au
_chemical_formula_sum 'K1 Sn1 Hg2 Au1'
_symmetry_space_group_name_H-M 'P 4/m m m'
_symmetry_Int_Tables_number 123
_symmetry_space_group_name_Hall '-P 4 2'
_cell_length_a 5.5128
_cell_length_b 5.5128
_cell_length_c 5.4092
_cell_angle_alpha 90.00
_cell_angle_beta 90.00
_cell_angle_gamma 90.00
loop_
_atom_site_label
_atom_site_fract_x
_atom_site_fract_y
_atom_site_fract_z
_atom_site_occupancy
K1 0.0000 0.0000 0.0000 1
Sn1 0.5000 0.5000 0.0000 1
Hg1 0.0000 0.5000 0.5000 1
Au1 0.5000 0.5000 0.5000 1
# - crystal system = tetragonal
# - polymorph energy (0 for the lowest one) (kJ/mol of formula units) = 82
# - energy relative to the elements (eV per atom) = -0.03
# - magnetic moment (μB per formula unit) = 0.00
# - DOS(E_F) (states/eV/f.u.) = 2.11
# - uncorrected energy (eV/atom) = -1.8281


Record 11
# Ca4Ga3Ge | the Alexandria database | PBE | relaxed
data_Ca4Ga3Ge
_chemical_formula_sum 'Ca4 Ga3 Ge1'
_symmetry_space_group_name_H-M 'P m m 2'
_symmetry_Int_Tables_number 25
_symmetry_space_group_name_Hall 'P 2 -2'
_cell_length_a 4.1751
_cell_length_b 4.4780
_cell_length_c 11.2249
_cell_angle_alpha 90.00
_cell_angle_beta 90.00
_cell_angle_gamma 90.00
loop_
_atom_site_label
_atom_site_fract_x
_atom_site_fract_y
_atom_site_fract_z
_atom_site_occupancy
Ca1 0.0000 0.0000 0.0000 1
Ca2 0.0000 0.5000 0.4937 1
Ca3 0.5000 0.0000 0.7121 1
Ca4 0.5000 0.5000 0.2152 1
Ga1 0.0000 0.5000 0.7843 1
Ga2 0.5000 0.0000 0.4238 1
Ga3 0.5000 0.5000 0.9259 1
Ge1 0.0000 0.0000 0.2833 1
# - crystal system = orthorhombic
# - energy relative to the elements (eV per atom) = -0.53
# - magnetic moment (μB per formula unit) = 0.00
# - DOS(E_F) (states/eV/f.u.) = 5.06
# - uncorrected energy (eV/atom) = -3.2439


Record 12
# Ta2Pb5O12 | the Alexandria database | PBE | relaxed
data_Ta2Pb5O12
_chemical_formula_sum 'Ta4 Pb10 O24'
_symmetry_space_group_name_H-M 'C 1 2/m 1'
_symmetry_Int_Tables_number 12
_symmetry_space_group_name_Hall '-C 2y'
_cell_length_a 13.7350
_cell_length_b 6.0295
_cell_length_c 7.7164
_cell_angle_alpha 90.00
_cell_angle_beta 109.36
_cell_angle_gamma 90.00
loop_
_atom_site_label
_atom_site_fract_x
_atom_site_fract_y
_atom_site_fract_z
_atom_site_occupancy
Ta1 0.0000 0.2502 0.0000 1
Pb1 0.0000 0.0000 0.5000 1
Pb2 0.2064 0.5000 0.3746 1
Pb3 0.2079 0.5000 0.8267 1
O1 0.0119 0.5000 0.8353 1
O2 0.0297 0.0000 0.8526 1
O3 0.1510 0.2630 0.1409 1
O4 0.1616 0.2542 0.5583 1
# - crystal system = monoclinic
# - magnetic moment (μB per formula unit) = 0.00
# - uncorrected energy (eV/atom) = -7.0251


Which of these has the lowest uncorrected energy? Mo2AsOs